Material: CaReTc2Br
Method: DFT, PBE
State: optimized geometry

Cell and atoms, written as CIF:
```
data_CaReTc2Br
_cell_length_a 4.646
_cell_length_b 4.646
_cell_length_c 4.660
_cell_angle_alpha 90.00
_cell_angle_beta 90.00
_cell_angle_gamma 90.00
_symmetry_space_group_name_H-M 'P 1'
_symmetry_Int_Tables_number 1
loop_
_symmetry_equiv_pos_as_xyz
'x,y,z'
loop_
_atom_site_label
_atom_site_type_symbol
_atom_site_fract_x
_atom_site_fract_y
_atom_site_fract_z
_atom_site_occupancy
Ca1 Ca 0.000 0.000 0.000 1
Re1 Re 0.500 0.500 0.000 1
Tc1 Tc 0.000 0.500 0.500 1
Tc2 Tc 0.500 0.000 0.500 1
Br1 Br 0.500 0.500 0.500 1
```

## Properties
- formation energy from raw total energies (eV/atom) = 1.4367
- size of the total moment (μB/f.u.) = 1.787
- space group = P4/mmm, No. 123



Material: Na4CrCl6
Method: DFT, PBE
State: optimized geometry

Cell and atoms, written as CIF:
```
data_Na4CrCl6
_cell_length_a 7.956
_cell_length_b 7.956
_cell_length_c 8.059
_cell_angle_alpha 90.00
_cell_angle_beta 90.00
_cell_angle_gamma 90.00
_symmetry_space_group_name_H-M 'P 1'
_symmetry_Int_Tables_number 1
loop_
_symmetry_equiv_pos_as_xyz
'x,y,z'
loop_
_atom_site_label
_atom_site_type_symbol
_atom_site_fract_x
_atom_site_fract_y
_atom_site_fract_z
_atom_site_occupancy
Na1 Na 0.177 0.323 0.250 1
Na2 Na 0.177 0.323 0.750 1
Na3 Na 0.323 0.823 0.250 1
Na4 Na 0.323 0.823 0.750 1
Na5 Na 0.677 0.177 0.250 1
Na6 Na 0.677 0.177 0.750 1
Na7 Na 0.823 0.677 0.250 1
Na8 Na 0.823 0.677 0.750 1
Cr1 Cr 0.000 0.000 0.000 1
Cr2 Cr 0.500 0.500 0.500 1
Cl1 Cl 0.000 0.000 0.293 1
Cl2 Cl 0.000 0.000 0.707 1
Cl3 Cl 0.100 0.691 0.000 1
Cl4 Cl 0.191 0.600 0.500 1
Cl5 Cl 0.309 0.100 0.000 1
Cl6 Cl 0.400 0.191 0.500 1
Cl7 Cl 0.500 0.500 0.207 1
Cl8 Cl 0.500 0.500 0.793 1
Cl9 Cl 0.600 0.809 0.500 1
Cl10 Cl 0.691 0.900 0.000 1
Cl11 Cl 0.809 0.400 0.500 1
Cl12 Cl 0.900 0.309 0.000 1
```

## Properties
- formation energy from raw total energies (eV/atom) = -1.4974
- size of the total moment (μB/f.u.) = 4.000
- space group = P4/mnc, No. 128



Material: SrReAg2
Method: DFT, PBE
State: optimized geometry

Cell and atoms, written as CIF:
```
data_SrReAg2
_cell_length_a 6.353
_cell_length_b 6.353
_cell_length_c 6.353
_cell_angle_alpha 153.82
_cell_angle_beta 129.73
_cell_angle_gamma 57.55
_symmetry_space_group_name_H-M 'P 1'
_symmetry_Int_Tables_number 1
loop_
_symmetry_equiv_pos_as_xyz
'x,y,z'
loop_
_atom_site_label
_atom_site_type_symbol
_atom_site_fract_x
_atom_site_fract_y
_atom_site_fract_z
_atom_site_occupancy
Sr1 Sr 0.000 0.000 0.000 1
Re1 Re 0.500 0.500 0.000 1
Ag1 Ag 0.284 0.784 0.500 1
Ag2 Ag 0.716 0.216 0.500 1
```

## Properties
- size of the total moment (μB/f.u.) = 0.000
- space group = Immm, No. 71
- calculated formation energy (eV/atom) = 0.76



Material: BaGa4Pt2Rh
Method: DFT, PBE
State: optimized geometry

Cell and atoms, written as CIF:
```
data_BaGa4Pt2Rh
_cell_length_a 10.082
_cell_length_b 10.082
_cell_length_c 10.082
_cell_angle_alpha 24.68
_cell_angle_beta 24.68
_cell_angle_gamma 24.68
_symmetry_space_group_name_H-M 'P 1'
_symmetry_Int_Tables_number 1
loop_
_symmetry_equiv_pos_as_xyz
'x,y,z'
loop_
_atom_site_label
_atom_site_type_symbol
_atom_site_fract_x
_atom_site_fract_y
_atom_site_fract_z
_atom_site_occupancy
Ba1 Ba 0.000 0.000 0.000 1
Ga1 Ga 0.135 0.135 0.135 1
Ga2 Ga 0.410 0.410 0.410 1
Ga3 Ga 0.590 0.590 0.590 1
Ga4 Ga 0.865 0.865 0.865 1
Pt1 Pt 0.228 0.228 0.228 1
Pt2 Pt 0.772 0.772 0.772 1
Rh1 Rh 0.500 0.500 0.500 1
```

## Properties
- size of the total moment (μB/f.u.) = 0.000
- space group = R-3m, No. 166
- calculated formation energy (eV/atom) = -0.67



Among the records above, which one has the highest size of the total moment? Na4CrCl6



Which formula does entry 4 have? BaGa4Pt2Rh